A plane-wave DFT calculation with PBE+U was carried out for a relaxed structure of Ba3HoV2O9.

```
Ba3HoV2O9
1.0
-3.260 0.874 -4.739
2.410 -5.208 0.953
-5.808 -2.025 3.622
O V Ba Ho
9 2 3 1
Cartesian
-5.111 -4.024 -0.797 O
-1.943 -4.355 -1.129 O
-1.547 -2.336 0.634 O
-0.425 -2.167 -1.893 O
1.205 -2.604 0.476 O
-1.630 0.437 -2.369 O
-4.715 -2.006 0.966 O
-6.233 -1.599 -1.241 O
-0.425 -4.761 1.077 O
-0.435 -3.514 -0.349 V
-6.223 -2.846 0.185 V
-3.225 -1.801 -1.684 Ba
-3.432 -4.559 1.521 Ba
0.000 0.000 0.000 Ba
-2.904 -1.013 1.811 Ho
```

Results
M_tot, μB/f.u.: 1.00
Symmetry: P-3m1, No. 164
Crystal system: trigonal
Calculated total energy, eV per atom: -7.285